[1]
Density functional theory data (PBE) for crystalline Mg2ZnCd at its relaxed geometry.

CIF file:
```
data_Mg2ZnCd
_space_group_name_H-M_alt 'P 4/m m m'
_space_group_IT_number 123
_space_group_name_Hall '-P 4 2'
_cell_length_a 4.425
_cell_length_b 4.425
_cell_length_c 4.079
_cell_angle_alpha 90.00
_cell_angle_beta 90.00
_cell_angle_gamma 90.00
loop_
_atom_site_label
_atom_site_fract_x
_atom_site_fract_y
_atom_site_fract_z
Mg1 0.000 0.500 0.000
Zn1 0.000 0.000 0.500
Cd1 0.500 0.500 0.500
```

## Properties
energy above the most stable polymorph in this dataset	0.0233	eV/atom

***

[2]
Density functional theory data (PBE) for crystalline Mg2ZnCd at its relaxed geometry.

CIF file:
```
data_Mg2ZnCd
_space_group_name_H-M_alt 'C 1 m 1'
_space_group_IT_number 8
_space_group_name_Hall 'C -2y'
_cell_length_a 5.362
_cell_length_b 3.297
_cell_length_c 9.423
_cell_angle_alpha 90.00
_cell_angle_beta 99.36
_cell_angle_gamma 90.00
loop_
_atom_site_label
_atom_site_fract_x
_atom_site_fract_y
_atom_site_fract_z
Mg1 0.000 0.000 0.000
Mg2 0.166 0.000 0.535
Zn1 0.083 0.500 0.768
Cd1 0.428 0.000 0.268
```

## Properties
energy above the most stable polymorph in this dataset	0.0608	eV/atom

***

[3]
Density functional theory data (PBE) for crystalline Mg4Zn3Cd at its relaxed geometry.

CIF file:
```
data_Mg4Zn3Cd
_space_group_name_H-M_alt 'P m m a'
_space_group_IT_number 51
_space_group_name_Hall '-P 2a 2a'
_cell_length_a 9.710
_cell_length_b 6.269
_cell_length_c 4.994
_cell_angle_alpha 90.00
_cell_angle_beta 90.00
_cell_angle_gamma 90.00
loop_
_atom_site_label
_atom_site_fract_x
_atom_site_fract_y
_atom_site_fract_z
Mg1 0.000 0.243 0.000
Mg2 0.250 0.243 0.389
Zn1 0.000 0.000 0.500
Zn2 0.250 0.000 0.873
Zn3 0.250 0.500 0.886
Cd1 0.000 0.500 0.500
```

***

[4]
Density functional theory data (PBE) for crystalline Mg2ZnCd at its relaxed geometry.

CIF file:
```
data_Mg2ZnCd
_space_group_name_H-M_alt 'C m c m'
_space_group_IT_number 63
_space_group_name_Hall '-C 2c 2'
_cell_length_a 7.493
_cell_length_b 9.264
_cell_length_c 4.592
_cell_angle_alpha 90.00
_cell_angle_beta 90.00
_cell_angle_gamma 90.00
loop_
_atom_site_label
_atom_site_fract_x
_atom_site_fract_y
_atom_site_fract_z
Mg1 0.228 0.121 0.250
Zn1 0.000 0.142 0.750
Cd1 0.000 0.381 0.250
```

## Properties
energy above the most stable polymorph in this dataset	0.0137	eV/atom

***

How do the records compare in energy of formation from the pure elements? In the order shown, they have -0.06, -0.03, -0.07, -0.07 eV per atom.